# LaV2ReO8 | Alexandria via LeMat-Bulk | GGA+U | relaxed
# Total magnetization ... 4.0 Bohr magnetons per cell
# E_tot ... -8.08 eV/atom
data_LaV2ReO8
_symmetry_space_group_name_H-M 'P 1 2/m 1'
_symmetry_Int_Tables_number 10
_cell_length_a 4.752
_cell_length_b 6.582
_cell_length_c 4.755
_cell_angle_alpha 90.00
_cell_angle_beta 92.85
_cell_angle_gamma 90.00
loop_
_symmetry_equiv_pos_as_xyz
'x,y,z'
'-x,-y,-z'
'-x,y,-z'
'x,-y,z'
loop_
_atom_site_label
_atom_site_fract_x
_atom_site_fract_y
_atom_site_fract_z
_atom_site_occupancy
La1 0.000 0.000 0.000 1
V1 0.500 0.246 0.500 1
Re1 0.000 0.500 0.000 1
O1 0.215 0.294 0.214 1
O2 0.281 0.500 0.718 1
O3 0.330 0.000 0.668 1

# La2VReO6 | Alexandria via LeMat-Bulk | GGA+U | relaxed
# Total magnetization ... 0.0 Bohr magnetons per cell
# E_tot ... -8.34 eV/atom
data_La2VReO6
_symmetry_space_group_name_H-M 'F m -3 m'
_symmetry_Int_Tables_number 225
_symmetry_space_group_name_Hall '-F 4 2 3'
_cell_length_a 8.013
_cell_length_b 8.013
_cell_length_c 8.013
_cell_angle_alpha 90.00
_cell_angle_beta 90.00
_cell_angle_gamma 90.00
loop_
_atom_site_label
_atom_site_fract_x
_atom_site_fract_y
_atom_site_fract_z
_atom_site_occupancy
La1 0.250 0.250 0.250 1
V1 0.000 0.000 0.000 1
Re1 0.000 0.000 0.500 1
O1 0.000 0.000 0.251 1